{
  "formula": "Er5InIr4",
  "functional": "PBE-GGA",
  "state": "optimized geometry",
  "energy_ev_per_atom": -6.8999,
  "e_form_ev_per_atom": -0.800,
  "dos_ef_per_ev_atom": 0.902,
  "lattice_angstrom": [[3.4586, 0.0000, 0.0000], [0.0000, 3.4586, 0.0000], [0.0000, 0.0000, 17.4352]],
  "species": ["Er", "Er", "Er", "Er", "Er", "In", "Ir", "Ir", "Ir", "Ir"],
  "frac_coords": [[0.0000, 0.0000, 0.0000], [0.0000, 0.0000, 0.1898], [0.0000, 0.0000, 0.3780], [0.0000, 0.0000, 0.6220], [0.0000, 0.0000, 0.8102], [0.5000, 0.5000, 0.5000], [0.5000, 0.5000, 0.0952], [0.5000, 0.5000, 0.2877], [0.5000, 0.5000, 0.7123], [0.5000, 0.5000, 0.9048]]
}

{
  "formula": "Er6In3Ir",
  "functional": "PBE-GGA",
  "state": "optimized geometry",
  "energy_ev_per_atom": -4.9076,
  "e_form_ev_per_atom": -0.462,
  "dos_ef_per_ev_atom": 0.836,
  "lattice_angstrom": [[9.1437, 0.0000, 0.0000], [0.0000, 5.2117, 0.0000], [-3.3863, 0.0000, 10.7792]],
  "species": ["Er", "Er", "Er", "Er", "Er", "Er", "Er", "Er", "Er", "Er", "Er", "Er", "In", "In", "In", "In", "In", "In", "Ir", "Ir"],
  "frac_coords": [[0.0442, 0.2500, 0.4174], [0.1896, 0.7500, 0.1666], [0.2816, 0.2500, 0.0026], [0.3515, 0.7500, 0.8277], [0.3693, 0.2500, 0.3380], [0.4008, 0.2500, 0.6447], [0.5992, 0.7500, 0.3553], [0.6307, 0.7500, 0.6620], [0.6485, 0.2500, 0.1723], [0.7184, 0.7500, 0.9974], [0.8104, 0.2500, 0.8334], [0.9558, 0.7500, 0.5826], [0.0120, 0.7500, 0.8792], [0.0978, 0.2500, 0.7178], [0.2792, 0.7500, 0.4760], [0.7208, 0.2500, 0.5240], [0.9022, 0.7500, 0.2822], [0.9880, 0.2500, 0.1208], [0.4586, 0.7500, 0.0946], [0.5414, 0.2500, 0.9054]]
}

{
  "formula": "Er3In3Ir2",
  "functional": "PBE-GGA",
  "state": "optimized geometry",
  "energy_ev_per_atom": -5.5059,
  "e_form_ev_per_atom": -0.553,
  "dos_ef_per_ev_atom": 0.556,
  "lattice_angstrom": [[15.9401, 0.0000, 0.0000], [0.0000, 4.6719, 0.0000], [-1.0809, 0.0000, 5.0707]],
  "species": ["Er", "Er", "Er", "Er", "Er", "Er", "In", "In", "In", "In", "In", "In", "Ir", "Ir", "Ir", "Ir"],
  "frac_coords": [[0.0000, 0.0000, 0.0000], [0.1700, 0.0000, 0.5932], [0.3300, 0.5000, 0.4068], [0.5000, 0.5000, 0.0000], [0.6700, 0.5000, 0.5932], [0.8300, 0.0000, 0.4068], [0.0000, 0.5000, 0.5000], [0.1306, 0.5000, 0.0816], [0.3694, 0.0000, 0.9184], [0.5000, 0.0000, 0.5000], [0.6306, 0.0000, 0.0816], [0.8694, 0.5000, 0.9184], [0.2162, 0.0000, 0.1225], [0.2838, 0.5000, 0.8775], [0.7162, 0.5000, 0.1225], [0.7838, 0.0000, 0.8775]]
}